1.
Computed, not measured: an optimized crystal structure of AcEr2PuAs4 at the PBE level of DFT.

Output
- Final energy: -7.0960 eV per atom

Unit cell a=7.3074 b=4.2261 c=7.3091 alpha=90.00 beta=109.45 gamma=90.00
With the nearest neighbours (Å) after each atom.
Sites, in units of the cell vectors:
Ac: 0.0000 0.0000 0.0000  6 As 3.09
Er: 0.5000 0.0000 0.5000  6 As 2.88
Er: 0.5000 0.5000 0.0000  6 As 2.98
Pu: 0.0000 0.5000 0.5000  6 As 2.99-3.00
As: 0.2599 0.0000 0.7422  3 Er 2.88-2.98, 2 Pu 2.99, 1 Ac 3.09
As: 0.2687 0.5000 0.2669  3 Er 2.88-2.98, 1 Pu 3.00, 2 Ac 3.09
As: 0.7313 0.5000 0.7331  3 Er 2.88-2.98, 1 Pu 3.00, 2 Ac 3.09
As: 0.7401 0.0000 0.2578  3 Er 2.88-2.98, 2 Pu 2.99, 1 Ac 3.09

2.
Computed, not measured: an optimized crystal structure of Ac2ErAs3Rh12 at the PBE level of DFT.

Output
- Final energy: -6.6303 eV per atom

Unit cell a=6.9025 b=6.9025 c=6.9025 alpha=84.26 beta=84.26 gamma=84.26
With the nearest neighbours (Å) after each atom.
Sites, in units of the cell vectors:
Ac: 0.1436 0.1436 0.1436  3 Rh 2.67
Ac: 0.8564 0.8564 0.8564  3 Rh 2.67
Er: 0.5000 0.5000 0.5000  6 Rh 2.68
As: 0.0000 0.5000 0.5000  2 Rh 2.39
As: 0.5000 0.0000 0.5000  2 Rh 2.39
As: 0.5000 0.5000 0.0000  2 Rh 2.39
Rh: 0.1245 0.1245 0.6010  1 Rh 2.63, 2 As 2.69
Rh: 0.1245 0.6010 0.1245  1 Rh 2.63, 2 As 2.69
Rh: 0.1827 0.6828 0.6828  1 As 2.39, 1 Rh 2.63, 1 Ac 2.67
Rh: 0.3172 0.3172 0.8173  1 As 2.39, 1 Rh 2.63, 1 Ac 2.67
Rh: 0.3172 0.8173 0.3172  1 As 2.39, 1 Rh 2.63, 1 Ac 2.67
Rh: 0.3990 0.8755 0.8755  1 Rh 2.63, 2 As 2.69
Rh: 0.6010 0.1245 0.1245  1 Rh 2.63, 2 As 2.69
Rh: 0.6828 0.1827 0.6828  1 As 2.39, 1 Rh 2.63, 1 Ac 2.67
Rh: 0.6828 0.6828 0.1827  1 As 2.39, 1 Rh 2.63, 1 Ac 2.67
Rh: 0.8173 0.3172 0.3172  1 As 2.39, 1 Rh 2.63, 1 Ac 2.67
Rh: 0.8755 0.3990 0.8755  1 Rh 2.63, 2 As 2.69
Rh: 0.8755 0.8755 0.3990  1 Rh 2.63, 2 As 2.69

Record order is preserved below.
DOS(E_F): 14.43 19.48 states/eV/cell